Model a:
# InAgSe2N (PBE-GGA, optimized geometry)
# * Fermi-level density of states: 8.82 states/eV/cell
data_InAgSe2N
_symmetry_space_group_name_H-M 'P 4/m m m'
_symmetry_Int_Tables_number 123
_symmetry_space_group_name_Hall '-P 4 2'
_cell_length_a 5.494
_cell_length_b 5.494
_cell_length_c 4.137
_cell_angle_alpha 90.00
_cell_angle_beta 90.00
_cell_angle_gamma 90.00
loop_
_atom_site_label
_atom_site_type_symbol
_atom_site_fract_x
_atom_site_fract_y
_atom_site_fract_z
_atom_site_occupancy
In1 In 0.000 0.000 0.000 1
Ag1 Ag 0.500 0.500 0.500 1
Se1 Se 0.000 0.500 0.000 1
N1 N 0.000 0.000 0.500 1

Model b:
# InAgSe2N (PBE-GGA, optimized geometry)
# * Fermi-level density of states: 5.26 states/eV/cell
data_InAgSe2N
_symmetry_space_group_name_H-M 'P 4/m m m'
_symmetry_Int_Tables_number 123
_symmetry_space_group_name_Hall '-P 4 2'
_cell_length_a 5.377
_cell_length_b 5.377
_cell_length_c 3.966
_cell_angle_alpha 90.00
_cell_angle_beta 90.00
_cell_angle_gamma 90.00
loop_
_atom_site_label
_atom_site_type_symbol
_atom_site_fract_x
_atom_site_fract_y
_atom_site_fract_z
_atom_site_occupancy
In1 In 0.000 0.000 0.000 1
Ag1 Ag 0.500 0.500 0.500 1
Se1 Se 0.000 0.500 0.500 1
N1 N 0.500 0.500 0.000 1

Most stable of them? model b.

Model a:
# InAgTeN2 (PBE-GGA, optimized geometry)
# * Fermi-level density of states: 2.12 states/eV/cell
data_InAgTeN2
_symmetry_space_group_name_H-M 'P 4/m m m'
_symmetry_Int_Tables_number 123
_symmetry_space_group_name_Hall '-P 4 2'
_cell_length_a 4.287
_cell_length_b 4.287
_cell_length_c 6.065
_cell_angle_alpha 90.00
_cell_angle_beta 90.00
_cell_angle_gamma 90.00
loop_
_atom_site_label
_atom_site_type_symbol
_atom_site_fract_x
_atom_site_fract_y
_atom_site_fract_z
_atom_site_occupancy
In1 In 0.000 0.000 0.000 1
Ag1 Ag 0.500 0.500 0.500 1
Te1 Te 0.500 0.500 0.000 1
N1 N 0.000 0.500 0.500 1

Model b:
# InAgTeN2 (PBE-GGA, optimized geometry)
# * Fermi-level density of states: 2.14 states/eV/cell
data_InAgTeN2
_symmetry_space_group_name_H-M 'P 4/m m m'
_symmetry_Int_Tables_number 123
_symmetry_space_group_name_Hall '-P 4 2'
_cell_length_a 4.270
_cell_length_b 4.270
_cell_length_c 6.322
_cell_angle_alpha 90.00
_cell_angle_beta 90.00
_cell_angle_gamma 90.00
loop_
_atom_site_label
_atom_site_type_symbol
_atom_site_fract_x
_atom_site_fract_y
_atom_site_fract_z
_atom_site_occupancy
In1 In 0.000 0.000 0.000 1
Ag1 Ag 0.500 0.500 0.500 1
Te1 Te 0.000 0.000 0.500 1
N1 N 0.000 0.500 0.000 1

Most stable of them? model b.

Model a:
# Na5InAg (PBE-GGA, optimized geometry)
# * Fermi-level density of states: 9.98 states/eV/cell
data_Na5InAg
_symmetry_space_group_name_H-M 'C 1 2/c 1'
_symmetry_Int_Tables_number 15
_symmetry_space_group_name_Hall '-C 2yc'
_cell_length_a 8.639
_cell_length_b 8.791
_cell_length_c 11.284
_cell_angle_alpha 90.00
_cell_angle_beta 103.63
_cell_angle_gamma 90.00
loop_
_atom_site_label
_atom_site_type_symbol
_atom_site_fract_x
_atom_site_fract_y
_atom_site_fract_z
_atom_site_occupancy
Na1 Na 0.000 0.142 0.250 1
Na2 Na 0.126 0.369 0.524 1
Na3 Na 0.200 0.212 0.838 1
In1 In 0.000 0.000 0.000 1
Ag1 Ag 0.000 0.490 0.250 1

Model b:
# Na5InAg (PBE-GGA, optimized geometry)
# * Fermi-level density of states: 10.72 states/eV/cell
data_Na5InAg
_symmetry_space_group_name_H-M 'C 1 2/c 1'
_symmetry_Int_Tables_number 15
_symmetry_space_group_name_Hall '-C 2yc'
_cell_length_a 12.154
_cell_length_b 11.957
_cell_length_c 5.770
_cell_angle_alpha 90.00
_cell_angle_beta 106.28
_cell_angle_gamma 90.00
loop_
_atom_site_label
_atom_site_type_symbol
_atom_site_fract_x
_atom_site_fract_y
_atom_site_fract_z
_atom_site_occupancy
Na1 Na 0.000 0.229 0.250 1
Na2 Na 0.138 0.310 0.832 1
Na3 Na 0.249 0.073 0.588 1
In1 In 0.000 0.059 0.750 1
Ag1 Ag 0.000 0.500 0.000 1

Most stable of them? model b.